An optimized crystal structure of RbTlPb. Source: the Alexandria database, functional PBE.

Values from the calculation:
Final energy: -2.3744 eV per atom
Energy of formation: -0.027 eV per atom
DOS(E_F): 2.7 states/eV per cell

Cell: 5.7480 6.9355 8.1346 Å, 64.85 69.36 90.12°
Last column: nearest neighbours and their distance in Å.
Atoms (fractional coordinates):
Rb1 0.3217 0.1766 0.6292  2 Pb 3.67, 2 Tl 3.76
Rb2 0.0970 0.4518 0.0792  2 Pb 3.67, 2 Tl 3.76
Pb1 0.0100 0.8643 0.2548  3 Tl 3.16-3.40, 2 Pb 3.17
Pb2 0.4105 0.7641 0.4538  3 Tl 3.16-3.40, 2 Pb 3.17
Tl1 0.6429 0.9973 0.9871  3 Pb 3.16-3.40
Tl2 0.7758 0.6303 0.7215  3 Pb 3.16-3.40

***

An optimized crystal structure of AcMg2PbAu4. Source: the Alexandria database, functional PBE.

Values from the calculation:
Final energy: -3.5479 eV per atom
Energy of formation: -0.533 eV per atom
DOS(E_F): 5.0 states/eV per cell

Cell: 4.6666 4.6666 10.4242 Å, 77.07 77.07 60.00°
Last column: nearest neighbours and their distance in Å.
Atoms (fractional coordinates):
Ac1 0.0000 0.0000 0.0000  8 Au 3.26-3.43
Mg1 0.7590 0.7590 0.7230  6 Au 2.77-2.86
Mg2 0.2410 0.2410 0.2770  6 Au 2.77-2.86
Au1 0.8863 0.8863 0.3411  3 Mg 2.77
Au2 0.3943 0.3943 0.8172  3 Mg 2.86, 3 Au 3.13, 1 Pb 3.19
Au3 0.6057 0.6057 0.1828  3 Mg 2.86, 3 Au 3.13, 1 Pb 3.19
Au4 0.1137 0.1137 0.6589  3 Mg 2.77
Pb1 0.5000 0.5000 0.5000  8 Au 3.13-3.19, 6 Mg 3.51

***

An optimized crystal structure of Cs2Hg3F10. Source: the Alexandria database, functional PBE.

Values from the calculation:
Raw formation energy: -1.68 eV/atom
Final energy: -3.1055 eV per atom
DOS(E_F): 16.1 states/eV per cell

Cell: 7.0298 8.9623 11.0079 Å, 110.60 108.62 90.00°
Last column: nearest neighbours and their distance in Å.
Atoms (fractional coordinates):
F1 0.6493 0.9777 0.7816  2 Hg 2.21-2.30
F2 0.3507 0.0223 0.2184  2 Hg 2.21-2.30
F3 0.5000 0.0000 0.5000  2 Hg 2.29
F4 0.1924 0.5000 0.0000  2 Hg 2.24
F5 0.5193 0.1796 0.0385  2 Hg 2.30
F6 0.3772 0.4905 0.3001  1 Hg 2.13
F7 0.9228 0.4905 0.3001  1 Hg 2.13
F8 0.8618 0.2316 0.7237  1 Hg 2.07
F9 0.1382 0.7684 0.2763  1 Hg 2.07
F10 0.0772 0.5095 0.6999  1 Hg 2.13
F11 0.7670 0.7393 0.5340  1 Hg 2.05
F12 0.9768 0.8162 0.9537  3 Hg 2.35-2.39
F13 0.4807 0.8204 0.9615  2 Hg 2.30
F14 0.8076 0.5000 0.0000  2 Hg 2.24
F15 0.1323 0.9777 0.7816  2 Hg 2.21-2.30
F16 0.2330 0.2607 0.4660  1 Hg 2.05
F17 0.0232 0.1838 0.0463  3 Hg 2.35-2.39
F18 0.8677 0.0223 0.2184  2 Hg 2.21-2.30
F19 0.0000 0.0000 0.5000  2 Hg 2.29
F20 0.6228 0.5095 0.6999  1 Hg 2.13
Hg1 0.1827 0.0163 0.3655  4 F 2.05-2.29
Hg2 0.2531 0.0000 0.0000  6 F 2.21-2.35
Hg3 0.8173 0.9837 0.6345  4 F 2.05-2.29
Hg4 0.0800 0.4701 0.1600  4 F 2.13-2.24
Hg5 0.9200 0.5299 0.8400  4 F 2.13-2.24
Hg6 0.7469 0.0000 0.0000  6 F 2.21-2.35
Cs1 0.6115 0.7194 0.2229  8 F 3.12-3.28
Cs2 0.2915 0.6808 0.5830  6 F 2.99-3.25
Cs3 0.7085 0.3192 0.4170  6 F 2.99-3.25
Cs4 0.3885 0.2806 0.7771  8 F 3.12-3.28

***

An optimized crystal structure of Cu2PbO4. Source: the Alexandria database, functional PBE.

Values from the calculation:
Raw formation energy: -0.52 eV/atom
Final energy: -5.0559 eV per atom
DOS(E_F): 10.5 states/eV per cell

Cell: 6.0747 6.0747 6.0747 Å, 106.48 115.63 106.48°
Last column: nearest neighbours and their distance in Å.
Atoms (fractional coordinates):
O1 0.1443 0.7898 0.3489  2 Cu 1.94-1.97
O2 0.6455 0.2046 0.8557  2 Cu 1.94-1.97
O3 0.1909 0.2954 0.9011  2 Cu 1.94-1.97
O4 0.6511 0.7954 0.4409  2 Cu 1.94-1.97
O5 0.0989 0.2898 0.3943  2 Cu 1.94-1.97
O6 0.5591 0.2102 0.3545  2 Cu 1.94-1.97
O7 0.6057 0.7046 0.8955  2 Cu 1.94-1.97
O8 0.1045 0.7102 0.8091  2 Cu 1.94-1.97
Cu1 0.4849 0.3599 0.6250  4 O 1.94-1.97
Cu2 0.2651 0.6401 0.1250  4 O 1.94-1.97
Cu3 0.3750 0.8599 0.7349  4 O 1.94-1.97
Cu4 0.8750 0.1401 0.5151  4 O 1.94-1.97
Pb1 0.0000 0.0000 0.0000  4 O 2.23
Pb2 0.7500 0.5000 0.2500  4 O 2.23

***

An optimized crystal structure of Pu5Rh2Au. Source: the Alexandria database, functional PBE.

Values from the calculation:
Final energy: -11.2314 eV per atom
Energy of formation: -0.026 eV per atom
Offset from the most stable computed form: 315 meV per atom
DOS(E_F): 31.9 states/eV per cell

Cell: 5.1177 6.5286 6.5286 Å, 78.79 66.92 66.92°
Last column: nearest neighbours and their distance in Å.
Atoms (fractional coordinates):
Pu1 0.0000 0.5000 0.5000  2 Rh 2.95
Pu2 0.6860 0.4924 0.1356  1 Rh 2.67, 1 Pu 2.96
Pu3 0.3140 0.5076 0.8644  1 Rh 2.67, 1 Pu 2.96
Pu4 0.6860 0.1356 0.4924  1 Rh 2.67, 1 Pu 2.96
Pu5 0.3140 0.8644 0.5076  1 Rh 2.67, 1 Pu 2.96
Au1 0.0000 0.0000 0.0000  4 Rh 2.92, 4 Pu 3.11
Rh1 0.3390 0.1610 0.1610  3 Pu 2.67-2.95, 1 Rh 2.80, 2 Au 2.92
Rh2 0.6610 0.8390 0.8390  3 Pu 2.67-2.95, 1 Rh 2.80, 2 Au 2.92

***

An optimized crystal structure of Ga2CoAg. Source: the Alexandria database, functional PBE.

Values from the calculation:
Final energy: -3.6908 eV per atom
Energy of formation: 0.312 eV per atom
Offset from the most stable computed form: 405 meV per atom
DOS(E_F): 4.3 states/eV per cell

Cell: 2.8179 2.8179 9.7135 Å, 81.66 81.66 60.00°
Last column: nearest neighbours and their distance in Å.
Atoms (fractional coordinates):
Ga1 0.0830 0.0830 0.7509  1 Co 2.39
Ga2 0.9170 0.9170 0.2491  1 Co 2.39
Co1 0.0000 0.0000 0.0000  2 Ga 2.39
Ag1 0.5000 0.5000 0.5000  6 Ag 2.82, 6 Ga 2.90